Entry 1:
{"formula": "Nd3Sn3IrPd2", "functional": "PBE", "state": "optimized geometry", "energy_ev_per_cell": -53.49, "lattice": [[7.622, 0.000, 0.000], [-3.811, 6.601, 0.000], [0.000, 0.000, 4.136]], "species": ["Nd", "Nd", "Nd", "Sn", "Sn", "Sn", "Ir", "Pd", "Pd"], "fractional_positions": [[0.000, 0.408, 0.000], [0.408, 0.000, 0.000], [0.592, 0.592, 0.000], [0.000, 0.750, 0.500], [0.250, 0.250, 0.500], [0.750, 0.000, 0.500], [0.000, 0.000, 0.000], [0.333, 0.667, 0.500], [0.667, 0.333, 0.500]]}

Entry 2:
{"formula": "BaFeAgS3", "functional": "PBE", "state": "optimized geometry", "energy_ev_per_cell": -118.34, "lattice": [[13.456, 0.000, 0.000], [0.000, 4.058, 0.000], [0.000, 0.000, 9.584]], "species": ["Ba", "Ba", "Ba", "Ba", "Fe", "Fe", "Fe", "Fe", "Ag", "Ag", "Ag", "Ag", "S", "S", "S", "S", "S", "S", "S", "S", "S", "S", "S", "S"], "fractional_positions": [[0.241, 0.250, 0.061], [0.259, 0.750, 0.561], [0.741, 0.250, 0.439], [0.759, 0.750, 0.939], [0.013, 0.250, 0.338], [0.487, 0.750, 0.838], [0.513, 0.250, 0.162], [0.987, 0.750, 0.662], [0.005, 0.750, 0.104], [0.495, 0.250, 0.604], [0.505, 0.750, 0.396], [0.995, 0.250, 0.896], [0.077, 0.250, 0.563], [0.105, 0.750, 0.846], [0.141, 0.750, 0.275], [0.359, 0.250, 0.775], [0.395, 0.250, 0.346], [0.423, 0.750, 0.063], [0.577, 0.250, 0.937], [0.605, 0.750, 0.654], [0.641, 0.750, 0.225], [0.859, 0.250, 0.725], [0.895, 0.250, 0.154], [0.923, 0.750, 0.437]]}

Entry 3:
{"formula": "RbHfTl", "functional": "PBE", "state": "optimized geometry", "energy_ev_per_cell": -8.33, "lattice": [[0.000, 3.784, 3.784], [3.784, 0.000, 3.784], [3.784, 3.784, 0.000]], "species": ["Rb", "Hf", "Tl"], "fractional_positions": [[0.000, 0.000, 0.000], [0.750, 0.750, 0.750], [0.250, 0.250, 0.250]]}

Entry 4:
{"formula": "TaAsAuO", "functional": "PBE", "state": "optimized geometry", "energy_ev_per_cell": -54.54, "lattice": [[3.667, 0.000, 0.000], [0.000, 3.667, 0.000], [0.000, 0.000, 9.335]], "species": ["Ta", "Ta", "As", "As", "Au", "Au", "O", "O"], "fractional_positions": [[0.250, 0.250, 0.126], [0.750, 0.750, 0.874], [0.250, 0.250, 0.741], [0.750, 0.750, 0.259], [0.250, 0.750, 0.500], [0.750, 0.250, 0.500], [0.250, 0.750, 0.000], [0.750, 0.250, 0.000]]}

Entry 5:
{"formula": "ZnPbSO", "functional": "PBE", "state": "optimized geometry", "energy_ev_per_cell": -34.94, "lattice": [[1.998, 1.153, 11.778], [-1.998, 1.153, 11.778], [0.000, -2.307, 11.778]], "species": ["Zn", "Zn", "Pb", "Pb", "S", "S", "O", "O"], "fractional_positions": [[0.196, 0.196, 0.196], [0.804, 0.804, 0.804], [0.374, 0.374, 0.374], [0.626, 0.626, 0.626], [0.124, 0.124, 0.124], [0.876, 0.876, 0.876], [0.309, 0.309, 0.309], [0.691, 0.691, 0.691]]}

Entry 6:
{"formula": "Ho3Ta3Mo2N12", "functional": "PBE", "state": "optimized geometry", "energy_ev_per_cell": -754.49, "lattice": [[-6.377, 6.377, 6.377], [6.377, -6.377, 6.377], [6.377, 6.377, -6.377]], "species": ["Ho", "Ho", "Ho", "Ho", "Ho", "Ho", "Ho", "Ho", "Ho", "Ho", "Ho", "Ho", "Ta", "Ta", "Ta", "Ta", "Ta", "Ta", "Ta", "Ta", "Ta", "Ta", "Ta", "Ta", "Mo", "Mo", "Mo", "Mo", "Mo", "Mo", "Mo", "Mo", "N", "N", "N", "N", "N", "N", "N", "N", "N", "N", "N", "N", "N", "N", "N", "N", "N", "N", "N", "N", "N", "N", "N", "N", "N", "N", "N", "N", "N", "N", "N", "N", "N", "N", "N", "N", "N", "N", "N", "N", "N", "N", "N", "N", "N", "N", "N", "N"], "fractional_positions": [[0.125, 0.250, 0.375], [0.125, 0.375, 0.750], [0.250, 0.375, 0.125], [0.250, 0.875, 0.625], [0.375, 0.125, 0.250], [0.375, 0.750, 0.125], [0.625, 0.250, 0.875], [0.625, 0.875, 0.750], [0.750, 0.125, 0.375], [0.750, 0.625, 0.875], [0.875, 0.625, 0.250], [0.875, 0.750, 0.625], [0.125, 0.750, 0.875], [0.125, 0.875, 0.250], [0.250, 0.125, 0.875], [0.250, 0.625, 0.375], [0.375, 0.250, 0.625], [0.375, 0.625, 0.750], [0.625, 0.375, 0.250], [0.625, 0.750, 0.375], [0.750, 0.375, 0.625], [0.750, 0.875, 0.125], [0.875, 0.125, 0.750], [0.875, 0.250, 0.125], [0.000, 0.000, 0.000], [0.000, 0.000, 0.500], [0.000, 0.500, 0.000], [0.000, 0.500, 0.500], [0.500, 0.000, 0.000], [0.500, 0.000, 0.500], [0.500, 0.500, 0.000], [0.500, 0.500, 0.500], [0.026, 0.202, 0.117], [0.026, 0.324, 0.908], [0.085, 0.702, 0.676], [0.085, 0.883, 0.408], [0.092, 0.617, 0.415], [0.092, 0.974, 0.676], [0.117, 0.026, 0.202], [0.117, 0.592, 0.915], [0.176, 0.202, 0.585], [0.176, 0.474, 0.592], [0.202, 0.117, 0.026], [0.202, 0.585, 0.176], [0.298, 0.324, 0.915], [0.298, 0.474, 0.383], [0.324, 0.908, 0.026], [0.324, 0.915, 0.298], [0.383, 0.298, 0.474], [0.383, 0.585, 0.908], [0.408, 0.085, 0.883], [0.408, 0.824, 0.526], [0.415, 0.092, 0.617], [0.415, 0.824, 0.798], [0.474, 0.383, 0.298], [0.474, 0.592, 0.176], [0.526, 0.408, 0.824], [0.526, 0.617, 0.702], [0.585, 0.176, 0.202], [0.585, 0.908, 0.383], [0.592, 0.176, 0.474], [0.592, 0.915, 0.117], [0.617, 0.415, 0.092], [0.617, 0.702, 0.526], [0.676, 0.085, 0.702], [0.676, 0.092, 0.974], [0.702, 0.526, 0.617], [0.702, 0.676, 0.085], [0.798, 0.415, 0.824], [0.798, 0.883, 0.974], [0.824, 0.526, 0.408], [0.824, 0.798, 0.415], [0.883, 0.408, 0.085], [0.883, 0.974, 0.798], [0.908, 0.026, 0.324], [0.908, 0.383, 0.585], [0.915, 0.117, 0.592], [0.915, 0.298, 0.324], [0.974, 0.676, 0.092], [0.974, 0.798, 0.883]]}

Entry 7:
{"formula": "LaHoAs", "functional": "PBE", "state": "optimized geometry", "energy_ev_per_cell": -16.50, "lattice": [[0.000, 3.501, 3.501], [3.501, 0.000, 3.501], [3.501, 3.501, 0.000]], "species": ["La", "Ho", "As"], "fractional_positions": [[0.000, 0.000, 0.000], [0.500, 0.500, 0.500], [0.750, 0.750, 0.750]]}

Entry 8:
{"formula": "Cs2Rb2CdAs2", "functional": "PBE", "state": "optimized geometry", "energy_ev_per_cell": -16.67, "lattice": [[3.139, 1.812, 9.523], [-3.139, 1.812, 9.523], [0.000, -3.625, 9.523]], "species": ["Cs", "Cs", "Rb", "Rb", "Cd", "As", "As"], "fractional_positions": [[0.115, 0.115, 0.115], [0.885, 0.885, 0.885], [0.292, 0.292, 0.292], [0.708, 0.708, 0.708], [0.500, 0.500, 0.500], [0.412, 0.412, 0.412], [0.588, 0.588, 0.588]]}

Entry 9:
{"formula": "Be2ZnGa", "functional": "PBE", "state": "optimized geometry", "energy_ev_per_cell": -9.97, "lattice": [[0.000, 2.931, 2.931], [2.931, 0.000, 2.931], [2.931, 2.931, 0.000]], "species": ["Be", "Be", "Zn", "Ga"], "fractional_positions": [[0.000, 0.000, 0.000], [0.250, 0.250, 0.250], [0.500, 0.500, 0.500], [0.750, 0.750, 0.750]]}

Entry 10:
{"formula": "Ba2PaIn3", "functional": "PBE", "state": "optimized geometry", "energy_ev_per_cell": -18.71, "lattice": [[3.261, -5.656, 0.000], [3.261, 5.656, 0.000], [0.000, 0.000, 5.979]], "species": ["Ba", "Ba", "Pa", "In", "In", "In"], "fractional_positions": [[0.166, 0.834, 0.000], [0.834, 0.166, 0.000], [0.500, 0.500, 0.000], [0.000, 0.000, 0.500], [0.000, 0.500, 0.500], [0.500, 0.000, 0.500]]}

Entry 11:
{"formula": "YMgFeB", "functional": "PBE", "state": "optimized geometry", "energy_ev_per_cell": -21.03, "lattice": [[0.000, 3.132, 3.132], [3.132, 0.000, 3.132], [3.132, 3.132, 0.000]], "species": ["Y", "Mg", "Fe", "B"], "fractional_positions": [[0.000, 0.000, 0.000], [0.750, 0.750, 0.750], [0.500, 0.500, 0.500], [0.250, 0.250, 0.250]]}

Entry 12:
{"formula": "NdZnB4", "functional": "PBE", "state": "optimized geometry", "energy_ev_per_cell": -32.37, "lattice": [[3.188, 0.000, 0.000], [-1.594, 2.761, 0.000], [0.000, 0.000, 7.451]], "species": ["Nd", "Zn", "B", "B", "B", "B"], "fractional_positions": [[0.000, 0.000, 0.000], [0.000, 0.000, 0.500], [0.333, 0.667, 0.283], [0.333, 0.667, 0.717], [0.667, 0.333, 0.283], [0.667, 0.333, 0.717]]}

Entry 13:
{"formula": "Y3Sn2IrPd2Pt", "functional": "PBE", "state": "optimized geometry", "energy_ev_per_cell": -59.75, "lattice": [[4.381, 0.000, 0.000], [0.000, 6.199, 3.566], [0.000, -6.199, 3.566]], "species": ["Y", "Y", "Y", "Sn", "Sn", "Ir", "Pd", "Pd", "Pt"], "fractional_positions": [[0.000, 0.000, 0.000], [0.000, 0.239, 0.618], [0.000, 0.618, 0.239], [0.500, 0.286, 0.953], [0.500, 0.953, 0.286], [0.000, 0.618, 0.618], [0.500, 0.619, 0.854], [0.500, 0.854, 0.619], [0.500, 0.387, 0.387]]}

Entry 14:
{"formula": "AcTcPb", "functional": "PBE", "state": "optimized geometry", "energy_ev_per_cell": -14.55, "lattice": [[0.000, 3.643, 3.643], [3.643, 0.000, 3.643], [3.643, 3.643, 0.000]], "species": ["Ac", "Tc", "Pb"], "fractional_positions": [[0.000, 0.000, 0.000], [0.250, 0.250, 0.250], [0.750, 0.750, 0.750]]}

Entry 15:
{"formula": "PaTc2Au2", "functional": "PBE", "state": "optimized geometry", "formation_energy_ev_per_fu": 0.997, "energy_ev_per_cell": -35.75, "lattice": [[-1.927, 1.927, 6.522], [1.927, -1.927, 6.522], [1.927, 1.927, -6.522]], "species": ["Pa", "Tc", "Tc", "Au", "Au"], "fractional_positions": [[0.000, 0.000, 0.000], [0.250, 0.750, 0.500], [0.750, 0.250, 0.500], [0.399, 0.399, 0.000], [0.601, 0.601, 0.000]]}

Entry 16:
{"formula": "Li2Cd2InGePt2", "functional": "PBE", "state": "optimized geometry", "energy_ev_per_cell": -28.63, "lattice": [[4.579, 0.000, 0.000], [0.000, 4.579, 0.000], [0.000, 0.000, 6.517]], "species": ["Li", "Li", "Cd", "Cd", "In", "Ge", "Pt", "Pt"], "fractional_positions": [[0.000, 0.500, 0.232], [0.500, 0.000, 0.768], [0.000, 0.000, 0.000], [0.500, 0.500, 0.500], [0.000, 0.000, 0.500], [0.500, 0.500, 0.000], [0.000, 0.500, 0.764], [0.500, 0.000, 0.236]]}

Entry 17:
{"formula": "Sc4CdSiC2", "functional": "PBE", "state": "optimized geometry", "energy_ev_per_cell": -54.04, "lattice": [[3.315, 0.000, 0.000], [-1.657, 2.871, 0.000], [0.000, 0.000, 14.737]], "species": ["Sc", "Sc", "Sc", "Sc", "Cd", "Si", "C", "C"], "fractional_positions": [[0.000, 0.000, 0.148], [0.000, 0.000, 0.852], [0.667, 0.333, 0.316], [0.667, 0.333, 0.684], [0.000, 0.000, 0.500], [0.667, 0.333, 0.000], [0.333, 0.667, 0.236], [0.333, 0.667, 0.764]]}

Entry 18:
{"formula": "YGaCuW", "functional": "PBE", "state": "optimized geometry", "energy_ev_per_cell": -24.12, "lattice": [[0.000, 3.293, 3.293], [3.293, 0.000, 3.293], [3.293, 3.293, 0.000]], "species": ["Y", "Ga", "Cu", "W"], "fractional_positions": [[0.000, 0.000, 0.000], [0.500, 0.500, 0.500], [0.750, 0.750, 0.750], [0.250, 0.250, 0.250]]}

Entry 19:
{"formula": "TaNbAu", "functional": "PBE", "state": "optimized geometry", "formation_energy_ev_per_fu": 2.055, "energy_ev_per_cell": -23.16, "lattice": [[0.000, 3.155, 3.155], [3.155, 0.000, 3.155], [3.155, 3.155, 0.000]], "species": ["Ta", "Nb", "Au"], "fractional_positions": [[0.000, 0.000, 0.000], [0.500, 0.500, 0.500], [0.750, 0.750, 0.750]]}

Entry 20:
{"formula": "RbPrZnTe3", "functional": "PBE", "state": "optimized geometry", "energy_ev_per_cell": -91.93, "lattice": [[12.109, 0.000, 0.000], [0.000, 4.522, 0.000], [0.000, 0.000, 16.400]], "species": ["Rb", "Rb", "Rb", "Rb", "Pr", "Pr", "Pr", "Pr", "Zn", "Zn", "Zn", "Zn", "Te", "Te", "Te", "Te", "Te", "Te", "Te", "Te", "Te", "Te", "Te", "Te"], "fractional_positions": [[0.227, 0.250, 0.002], [0.273, 0.750, 0.502], [0.727, 0.250, 0.498], [0.773, 0.750, 0.998], [0.014, 0.750, 0.256], [0.486, 0.250, 0.756], [0.514, 0.750, 0.244], [0.986, 0.250, 0.744], [0.238, 0.750, 0.787], [0.262, 0.250, 0.287], [0.738, 0.750, 0.713], [0.762, 0.250, 0.213], [0.052, 0.750, 0.873], [0.085, 0.250, 0.383], [0.239, 0.250, 0.685], [0.261, 0.750, 0.185], [0.415, 0.750, 0.883], [0.448, 0.250, 0.373], [0.552, 0.750, 0.627], [0.585, 0.250, 0.117], [0.739, 0.250, 0.815], [0.761, 0.750, 0.315], [0.915, 0.750, 0.617], [0.948, 0.250, 0.127]]}